The following is a PBE-GGA calculation of HfSO after structural relaxation, from Alexandria via LeMat-Bulk.

The space group is Pnma (No. 62) and the conventional cell measures 5.9326, 3.4664 and 12.1045 Å, with angles of 90.00, 90.00 and 90.00 degrees. The inequivalent atoms are Hf at (0.2337, 0.2500, 0.0026), S at (0.0770, 0.2500, 0.3731) and O at (0.0944, 0.7500, 0.0678).

The energy comes out at -8.82 eV per atom. The calculation puts the total moment at 0.0 μB per formula unit. The density of states at the Fermi level is 0.00 states/eV/cell.



The following is a PBE-GGA calculation of HfSO2 after structural relaxation, from Alexandria via LeMat-Bulk.

The space group is R-3m (No. 166, hexagonal axes) and the conventional cell measures 3.1386, 3.1386 and 25.0256 Å, with angles of 90.00, 90.00 and 120.00 degrees. The inequivalent atoms are Hf at (0.0000, 0.0000, 0.0000), S at (0.0000, 0.0000, 0.5000) and O at (0.0000, 0.0000, 0.3735).

The energy comes out at -7.96 eV per atom. The calculation puts the total moment at 0.6 μB per formula unit. The density of states at the Fermi level is 4.79 states/eV/cell.



The following is a PBE-GGA calculation of HfSO3 after structural relaxation, from Alexandria via LeMat-Bulk.

The space group is Pm-3m (No. 221) and the conventional cell measures 4.0657, 4.0657 and 4.0657 Å, with angles of 90.00, 90.00 and 90.00 degrees. The inequivalent atoms are Hf at (0.0000, 0.0000, 0.0000), S at (0.5000, 0.5000, 0.5000) and O at (0.0000, 0.0000, 0.5000).

The energy comes out at -7.07 eV per atom. The calculation puts the total moment at 0.0 μB per formula unit. The density of states at the Fermi level is 3.21 states/eV/cell.



The following is a PBE-GGA calculation of HfSO6 after structural relaxation, from Alexandria via LeMat-Bulk.

The space group is Pnma (No. 62) and the conventional cell measures 11.4522, 5.6462 and 6.8753 Å, with angles of 90.00, 90.00 and 90.00 degrees. The inequivalent atoms are Hf at (0.0694, 0.2500, 0.1650), S at (0.1451, 0.7500, 0.4559), O at (0.0406, 0.7500, 0.5815), O at (0.0540, 0.0004, 0.9353), O at (0.1456, 0.5360, 0.3320) and O at (0.2494, 0.2500, 0.0776).

The energy comes out at -7.38 eV per atom. The calculation puts the total moment at 0.0 μB per formula unit. The density of states at the Fermi level is 0.00 states/eV/cell.



The following is a PBE-GGA calculation of Hf3SO after structural relaxation, from Alexandria via LeMat-Bulk.

The space group is Pm-3m (No. 221) and the conventional cell measures 4.3807, 4.3807 and 4.3807 Å, with angles of 90.00, 90.00 and 90.00 degrees. The inequivalent atoms are Hf at (0.0000, 0.0000, 0.5000), S at (0.5000, 0.5000, 0.5000) and O at (0.0000, 0.0000, 0.0000).

Its energy above the most stable polymorph in this dataset is 0.000 eV per formula unit. The calculation puts the total moment at 0.0 μB per formula unit. The density of states at the Fermi level is 4.78 states/eV/cell.



The following is a PBE-GGA calculation of SrHfS2O8 after structural relaxation, from Alexandria via LeMat-Bulk.

The space group is P-3m1 (No. 164) and the conventional cell measures 5.0873, 5.0873 and 7.7611 Å, with angles of 90.00, 90.00 and 120.00 degrees. The inequivalent atoms are Sr at (0.0000, 0.0000, 0.0000), Hf at (0.0000, 0.0000, 0.5000), S at (0.3333, 0.6667, 0.7725), O at (0.1729, 0.3458, 0.7123) and O at (0.3333, 0.6667, 0.9634).

The energy comes out at -6.73 eV per atom. The calculation puts the total moment at 1.5 μB per formula unit. The density of states at the Fermi level is 2.25 states/eV/cell.



no.,V (A^3/atom)
1,20.744
2,17.792
3,13.441
4,13.893
5,16.814
6,14.496